First-principles (PBE-GGA) data for Er2ThBi after structural relaxation, as listed in the Alexandria database.

```
Er2ThBi
1.0
4.960 0.000 0.000
0.000 4.960 0.000
0.000 0.000 4.737
Er Th Bi
2 1 1
Direct
0.000 0.500 0.000 Er
0.500 0.000 0.000 Er
0.000 0.000 0.500 Th
0.500 0.500 0.500 Bi
```

## Properties
N(E_F): 3.72 states/eV/f.u.
crystal system: tetragonal
energy of formation from the pure elements: -0.2871 eV/atom
magnetic moment: 0.00 μB/f.u.
relative energy among the computed polymorphs: 47 meV per atom
symmetry: No. 123

---

First-principles (PBE-GGA) data for Er3ThBi2 after structural relaxation, as listed in the Alexandria database.

```
Er3ThBi2
1.0
7.830 -2.296 0.000
7.830 2.296 0.000
-4.852 0.000 10.416
Er Th Bi
6 2 4
Direct
0.042 0.042 0.360 Er
0.285 0.285 0.617 Er
0.379 0.379 0.383 Er
0.621 0.621 0.617 Er
0.715 0.715 0.383 Er
0.958 0.958 0.640 Er
0.134 0.134 0.066 Th
0.866 0.866 0.934 Th
0.200 0.200 0.829 Bi
0.498 0.498 0.850 Bi
0.502 0.502 0.150 Bi
0.800 0.800 0.171 Bi
```

## Properties
N(E_F): 5.50 states/eV/f.u.
crystal system: monoclinic
energy of formation from the pure elements: -0.4165 eV/atom
magnetic moment: 0.00 μB/f.u.
symmetry: No. 12

---

First-principles (PBE-GGA) data for ErTh3Bi4 after structural relaxation, as listed in the Alexandria database.

```
ErTh3Bi4
1.0
4.569 -6.452 0.000
4.569 6.452 0.000
0.000 0.000 4.558
Er Th Bi
1 3 4
Direct
0.000 0.000 0.000 Er
0.000 0.500 0.500 Th
0.500 0.000 0.500 Th
0.500 0.500 0.000 Th
0.242 0.242 0.500 Bi
0.245 0.755 0.000 Bi
0.755 0.245 0.000 Bi
0.758 0.758 0.500 Bi
```

## Properties
N(E_F): 5.31 states/eV/f.u.
crystal system: orthorhombic
energy of formation from the pure elements: -0.6135 eV/atom
magnetic moment: 0.00 μB/f.u.
symmetry: No. 65

---

First-principles (PBE-GGA) data for Er4ThBi2 after structural relaxation, as listed in the Alexandria database.

```
Er4ThBi2
1.0
-2.773 2.773 8.300
2.773 -2.773 8.300
2.773 2.773 -8.300
Er Th Bi
4 1 2
Direct
0.000 0.500 0.500 Er
0.186 0.186 0.000 Er
0.500 0.000 0.500 Er
0.814 0.814 0.000 Er
0.000 0.000 0.000 Th
0.371 0.371 0.000 Bi
0.629 0.629 0.000 Bi
```

## Properties
N(E_F): 7.24 states/eV/f.u.
crystal system: tetragonal
energy of formation from the pure elements: 0.5177 eV/atom
magnetic moment: 0.00 μB/f.u.
symmetry: No. 139

---

First-principles (PBE-GGA) data for ErTh4Bi5 after structural relaxation, as listed in the Alexandria database.

```
ErTh4Bi5
1.0
-5.107 5.107 3.236
5.107 -5.107 3.236
5.107 5.107 -3.236
Er Th Bi
1 4 5
Direct
0.000 0.000 0.000 Er
0.196 0.404 0.601 Th
0.404 0.804 0.208 Th
0.596 0.196 0.792 Th
0.804 0.596 0.399 Th
0.100 0.709 0.810 Bi
0.291 0.100 0.391 Bi
0.500 0.500 0.000 Bi
0.709 0.900 0.609 Bi
0.900 0.291 0.190 Bi
```

## Properties
N(E_F): 7.87 states/eV/f.u.
crystal system: tetragonal
energy of formation from the pure elements: -0.6011 eV/atom
magnetic moment: 0.00 μB/f.u.
symmetry: No. 87

---

First-principles (PBE-GGA) data for ErThBi2 after structural relaxation, as listed in the Alexandria database.

```
ErThBi2
1.0
2.267 1.309 7.340
-2.267 1.309 7.340
0.000 -2.618 7.340
Er Th Bi
1 1 2
Direct
0.000 0.000 0.000 Er
0.500 0.500 0.500 Th
0.254 0.254 0.254 Bi
0.746 0.746 0.746 Bi
```

## Properties
N(E_F): 2.19 states/eV/f.u.
crystal system: trigonal
energy of formation from the pure elements: -0.6833 eV/atom
magnetic moment: 0.00 μB/f.u.
relative energy among the computed polymorphs: 0 meV per atom
symmetry: No. 166

---

First-principles (PBE-GGA) data for ErTm3Th2Bi6 after structural relaxation, as listed in the Alexandria database.

```
ErTm3Th2Bi6
1.0
9.779 -2.250 0.000
9.779 2.250 0.000
-2.035 0.000 8.739
Er Tm Th Bi
1 3 2 6
Direct
0.000 0.000 0.000 Er
0.000 0.000 0.500 Tm
0.332 0.332 0.166 Tm
0.668 0.668 0.834 Tm
0.335 0.335 0.669 Th
0.665 0.665 0.331 Th
0.164 0.164 0.591 Bi
0.166 0.166 0.074 Bi
0.496 0.496 0.249 Bi
0.504 0.504 0.751 Bi
0.834 0.834 0.926 Bi
0.836 0.836 0.409 Bi
```

## Properties
N(E_F): 4.84 states/eV/f.u.
crystal system: monoclinic
energy of formation from the pure elements: -0.7110 eV/atom
magnetic moment: 0.00 μB/f.u.
symmetry: No. 12

---

First-principles (PBE-GGA) data for Er3TmTh2Bi6 after structural relaxation, as listed in the Alexandria database.

```
Er3TmTh2Bi6
1.0
9.792 -2.253 0.000
9.792 2.253 0.000
-2.043 0.000 8.748
Er Tm Th Bi
3 1 2 6
Direct
0.000 0.000 0.000 Er
0.332 0.332 0.666 Er
0.668 0.668 0.334 Er
0.000 0.000 0.500 Tm
0.335 0.335 0.169 Th
0.665 0.665 0.831 Th
0.164 0.164 0.090 Bi
0.166 0.166 0.574 Bi
0.496 0.496 0.747 Bi
0.504 0.504 0.253 Bi
0.834 0.834 0.426 Bi
0.836 0.836 0.910 Bi
```

## Properties
N(E_F): 4.84 states/eV/f.u.
crystal system: monoclinic
energy of formation from the pure elements: -0.7218 eV/atom
magnetic moment: 0.00 μB/f.u.
symmetry: No. 12

---

First-principles (PBE-GGA) data for Er2Tm3ThBi6 after structural relaxation, as listed in the Alexandria database.

```
Er2Tm3ThBi6
1.0
9.723 -2.237 0.000
9.723 2.237 0.000
-2.041 0.000 8.696
Er Tm Th Bi
2 3 1 6
Direct
0.169 0.169 0.335 Er
0.831 0.831 0.665 Er
0.166 0.166 0.831 Tm
0.500 0.500 0.500 Tm
0.834 0.834 0.169 Tm
0.500 0.500 0.000 Th
0.001 0.001 0.259 Bi
0.330 0.330 0.916 Bi
0.334 0.334 0.417 Bi
0.666 0.666 0.583 Bi
0.670 0.670 0.084 Bi
0.999 0.999 0.741 Bi
```

## Properties
N(E_F): 1.95 states/eV/f.u.
crystal system: monoclinic
energy of formation from the pure elements: -0.7589 eV/atom
magnetic moment: 0.00 μB/f.u.
symmetry: No. 12

---

First-principles (PBE-GGA) data for Er2TmThBi4 after structural relaxation, as listed in the Alexandria database.

```
Er2TmThBi4
1.0
7.759 0.000 0.000
0.000 4.492 0.000
-2.592 0.000 7.317
Er Tm Th Bi
2 1 1 4
Direct
0.000 0.000 0.000 Er
0.500 0.500 0.000 Er
0.000 0.500 0.500 Tm
0.500 0.000 0.500 Th
0.242 0.500 0.242 Bi
0.246 0.000 0.753 Bi
0.754 0.000 0.247 Bi
0.758 0.500 0.758 Bi
```

## Properties
N(E_F): 1.75 states/eV/f.u.
crystal system: monoclinic
energy of formation from the pure elements: -0.7456 eV/atom
magnetic moment: 0.00 μB/f.u.
symmetry: No. 10

---

First-principles (PBE-GGA) data for ErTm2ThBi5 after structural relaxation, as listed in the Alexandria database.

```
ErTm2ThBi5
1.0
5.725 0.000 0.000
0.000 5.725 0.000
0.000 0.000 11.890
Er Tm Th Bi
1 2 1 5
Direct
0.000 0.000 0.000 Er
0.500 0.500 0.266 Tm
0.500 0.500 0.734 Tm
0.000 0.000 0.500 Th
0.000 0.000 0.241 Bi
0.000 0.000 0.759 Bi
0.000 0.500 0.500 Bi
0.500 0.000 0.500 Bi
0.500 0.500 0.000 Bi
```

## Properties
N(E_F): 6.58 states/eV/f.u.
crystal system: tetragonal
energy of formation from the pure elements: 0.3037 eV/atom
magnetic moment: 0.00 μB/f.u.
symmetry: No. 123

---

First-principles (PBE-GGA) data for ErTmTh2Bi5 after structural relaxation, as listed in the Alexandria database.

```
ErTmTh2Bi5
1.0
5.392 0.000 0.000
0.000 5.392 0.000
0.000 0.000 11.660
Er Tm Th Bi
1 1 2 5
Direct
0.000 0.000 0.000 Er
0.000 0.000 0.500 Tm
0.500 0.500 0.203 Th
0.500 0.500 0.797 Th
0.000 0.000 0.254 Bi
0.000 0.000 0.746 Bi
0.000 0.500 0.000 Bi
0.500 0.000 0.000 Bi
0.500 0.500 0.500 Bi
```

## Properties
N(E_F): 5.64 states/eV/f.u.
crystal system: tetragonal
energy of formation from the pure elements: 0.0406 eV/atom
magnetic moment: 0.00 μB/f.u.
symmetry: No. 123

---

First-principles (PBE-GGA) data for ErTm2ThBi4 after structural relaxation, as listed in the Alexandria database.

```
ErTm2ThBi4
1.0
7.752 0.000 0.000
0.000 4.488 0.000
-2.587 0.000 7.310
Er Tm Th Bi
1 2 1 4
Direct
0.000 0.000 0.000 Er
0.500 0.000 0.500 Tm
0.500 0.500 0.000 Tm
0.000 0.500 0.500 Th
0.255 0.500 0.247 Bi
0.259 0.000 0.758 Bi
0.741 0.000 0.242 Bi
0.745 0.500 0.753 Bi
```

## Properties
N(E_F): 1.74 states/eV/f.u.
crystal system: monoclinic
energy of formation from the pure elements: -0.7381 eV/atom
magnetic moment: 0.00 μB/f.u.
symmetry: No. 10